Record 1
This record from Alexandria describes AlAsBr3 after structural relaxation. The functional is PBE.

Cell lengths 5.414, 5.414, 5.414 Å; angles 90.00, 90.00, 90.00 degrees
Element x y z (fractional)
1 Al 0.000 0.000 0.000
2 As 0.500 0.500 0.500
3 Br 0.000 0.500 0.500
4 Br 0.500 0.000 0.500
5 Br 0.500 0.500 0.000

Space-group type: Pm-3m
Raw formation energy in eV per atom: -0.062
E above lowest polymorph in meV per atom: 0
Electronic total energy in eV per formula unit: -13.721
D(E_F) in states/eV/f.u.: 0.1

---

Record 2
This record from Alexandria describes AlAsBr4 after structural relaxation. The functional is PBE.

Cell lengths 6.375, 6.375, 6.375 Å; angles 60.00, 60.00, 60.00 degrees
Element x y z (fractional)
1 Al 0.000 0.000 0.000
2 As 0.750 0.750 0.750
3 Br 0.375 0.375 0.375
4 Br 0.375 0.375 0.874
5 Br 0.375 0.874 0.375
6 Br 0.874 0.375 0.375

Space-group type: F-43m
Raw formation energy in eV per atom: 0.789
Electronic total energy in eV per formula unit: -10.347
D(E_F) in states/eV/f.u.: 7.5

---

Record 3
This record from Alexandria describes AlAsBr2 after structural relaxation. The functional is PBE.

Cell lengths 3.740, 3.740, 8.575 Å; angles 90.00, 90.00, 90.00 degrees
Element x y z (fractional)
1 Al 0.000 0.000 0.000
2 As 0.500 0.500 0.930
3 Br 0.000 0.000 0.267
4 Br 0.500 0.500 0.655

Space-group type: P4mm
Raw formation energy in eV per atom: -0.404
E above lowest polymorph in meV per atom: 0
Electronic total energy in eV per formula unit: -13.352
D(E_F) in states/eV/f.u.: 1.1

---

Record 4
This record from Alexandria describes AlAsBr after structural relaxation. The functional is PBE.

Cell lengths 3.490, 3.490, 7.359 Å; angles 90.00, 90.00, 120.00 degrees
Element x y z (fractional)
1 Al 0.000 0.000 0.000
2 As 0.667 0.333 0.216
3 Br 0.333 0.667 0.761

Space-group type: P3m1
Raw formation energy in eV per atom: -0.333
E above lowest polymorph in meV per atom: 113
Electronic total energy in eV per formula unit: -11.063
D(E_F) in states/eV/f.u.: 1.2

---

Record 5
This record from Alexandria describes AlAs2Br8 after structural relaxation. The functional is PBE.

Cell lengths 7.604, 7.604, 10.945 Å; angles 100.34, 100.34, 58.57 degrees
Element x y z (fractional)
1 Al 0.000 0.000 0.000
2 As 0.207 0.207 0.353
3 As 0.793 0.793 0.647
4 Br 0.145 0.687 0.864
5 Br 0.273 0.273 0.575
6 Br 0.313 0.855 0.136
7 Br 0.361 0.361 0.281
8 Br 0.639 0.639 0.719
9 Br 0.687 0.145 0.864
10 Br 0.727 0.727 0.425
11 Br 0.855 0.313 0.136

Space-group type: C2/m
Raw formation energy in eV per atom: -0.446
Electronic total energy in eV per formula unit: -31.332
D(E_F) in states/eV/f.u.: 1.7

---

Record 6
This record from Alexandria describes AlAsBr after structural relaxation. The functional is PBE.

Cell lengths 4.645, 4.645, 4.645 Å; angles 60.00, 60.00, 60.00 degrees
Element x y z (fractional)
1 Al 0.000 0.000 0.000
2 As 0.750 0.750 0.750
3 Br 0.250 0.250 0.250

Space-group type: F-43m
Raw formation energy in eV per atom: 0.203
E above lowest polymorph in meV per atom: 650
Electronic total energy in eV per formula unit: -9.455
D(E_F) in states/eV/f.u.: 3.6

---

Record 7
This record from Alexandria describes Al2AsBr after structural relaxation. The functional is PBE.

Cell lengths 6.318, 6.318, 6.318 Å; angles 150.90, 136.67, 53.05 degrees
Element x y z (fractional)
1 Al 0.000 0.000 0.000
2 Al 0.782 0.282 0.500
3 As 0.193 0.693 0.500
4 Br 0.474 0.474 0.000

Space-group type: Imm2
Raw formation energy in eV per atom: 0.038
E above lowest polymorph in meV per atom: 240
Electronic total energy in eV per formula unit: -13.655
D(E_F) in states/eV/f.u.: 1.2

---

Record 8
This record from Alexandria describes AlAsBr2 after structural relaxation. The functional is PBE.

Cell lengths 5.040, 5.040, 5.040 Å; angles 60.00, 60.00, 60.00 degrees
Element x y z (fractional)
1 Al 0.000 0.000 0.000
2 As 0.250 0.250 0.250
3 Br 0.500 0.500 0.500
4 Br 0.750 0.750 0.750

Space-group type: F-43m
Raw formation energy in eV per atom: 0.403
E above lowest polymorph in meV per atom: 806
Electronic total energy in eV per formula unit: -10.126
D(E_F) in states/eV/f.u.: 4.5

---

Number 5 is which compound? AlAs2Br8

---

Which of these has the lowest raw formation energy? AlAs2Br8

---

raw formation energy of number 7 (Al2AsBr)? 0.038 eV per atom

---

What is the D(E_F) in the fifth record? 1.7 states/eV/f.u.